[1]
K2TaRu | SCAN | single point on PBEsol structure

The structure in extended XYZ format:
```
4
Lattice="-2.463 -1.262 -1.740 3.624 -4.947 -1.544 -2.508 0.179 6.492" Properties=species:S:1:pos:R:3 pbc="T T T"
K -1.299 -5.957 3.088
K -2.339 -2.312 1.917
Ru 0.408 -3.366 -1.208
Ta 1.116 -3.529 0.979
```

Computed properties:
polymorph energy (0 for the lowest one)	295	meV/atom
uncorrected energy	-28.6726	eV per atom
calculated volume	30.92	Å³/atom
formation energy from the elements	3.4	eV per formula unit
SG	Imm2, No. 44


[2]
K2TaRu | SCAN | single point on PBEsol structure

The structure in extended XYZ format:
```
4
Lattice="3.144 0.000 0.000 0.000 3.932 -0.115 -1.572 -1.638 10.419" Properties=species:S:1:pos:R:3 pbc="T T T"
K 1.572 2.066 3.020
K 0.000 0.228 7.283
Ru 0.000 1.966 -0.058
Ta 1.572 0.000 0.000
```

Computed properties:
polymorph energy (0 for the lowest one)	0	meV/atom
uncorrected energy	-28.9679	eV per atom
calculated volume	32.05	Å³/atom
formation energy from the elements	2.2	eV per formula unit
SG	C2/m, No. 12


[3]
K3TaRu | SCAN | single point on PBEsol structure

The structure in extended XYZ format:
```
5
Lattice="-0.053 -6.338 0.648 0.101 -0.649 -6.337 6.370 -0.043 0.106" Properties=species:S:1:pos:R:3 pbc="T T T"
Ru 3.209 -3.515 -2.791
K 0.051 -0.325 -3.169
K 3.185 -0.021 0.053
K -0.027 -3.169 0.324
Ta 0.000 0.000 0.000
```

Computed properties:
uncorrected energy	-22.9341	eV per atom
calculated volume	51.72	Å³/atom
formation energy from the elements	11.7	eV per formula unit
SG	Pm-3m, No. 221


[4]
K2TaRu2 | SCAN | single point on PBEsol structure

The structure in extended XYZ format:
```
5
Lattice="3.499 0.000 0.000 0.000 3.499 0.000 -1.749 -1.749 7.941" Properties=species:S:1:pos:R:3 pbc="T T T"
Ru 0.000 0.000 6.664
Ru 1.749 1.749 1.276
K 0.000 1.749 3.970
K 1.749 0.000 3.970
Ta 0.000 0.000 0.000
```

Computed properties:
uncorrected energy	-29.2149	eV per atom
calculated volume	19.44	Å³/atom
formation energy from the elements	6.8	eV per formula unit
SG	I4/mmm, No. 139


[5]
KTcRu | SCAN | single point on PBEsol structure

The structure in extended XYZ format:
```
3
Lattice="4.345 0.000 0.000 2.172 3.763 0.000 2.172 1.254 3.547" Properties=species:S:1:pos:R:3 pbc="T T T"
K 4.345 2.508 1.774
Ru 2.172 1.254 0.887
Tc 0.000 0.000 0.000
```

Computed properties:
polymorph energy (0 for the lowest one)	899	meV/atom
uncorrected energy	-24.3722	eV per atom
calculated volume	19.33	Å³/atom
formation energy from the elements	5.1	eV per formula unit
SG	F-43m, No. 216


[6]
KTcRu | SCAN | single point on PBEsol structure

The structure in extended XYZ format:
```
3
Lattice="-1.639 -0.253 -2.482 0.435 -2.956 0.013 -5.106 0.781 5.087" Properties=species:S:1:pos:R:3 pbc="T T T"
K -0.061 -0.009 0.041
Ru -2.914 -1.938 0.326
Tc -3.335 -0.481 2.251
```

Computed properties:
polymorph energy (0 for the lowest one)	0	meV/atom
uncorrected energy	-25.2710	eV per atom
calculated volume	20.62	Å³/atom
formation energy from the elements	2.4	eV per formula unit
SG	I4mm, No. 107


[7]
KTcRu | SCAN | single point on PBEsol structure

The structure in extended XYZ format:
```
3
Lattice="2.718 -0.008 0.000 -1.198 2.440 0.000 -0.760 -1.216 7.896" Properties=species:S:1:pos:R:3 pbc="T T T"
K 0.000 0.000 0.047
Ru 0.760 1.216 2.894
Tc 0.000 0.000 4.954
```

Computed properties:
polymorph energy (0 for the lowest one)	178	meV/atom
uncorrected energy	-25.0935	eV per atom
calculated volume	17.44	Å³/atom
formation energy from the elements	2.9	eV per formula unit
SG	Fmm2, No. 42


[8]
KTeRu2 | SCAN | single point on PBEsol structure

The structure in extended XYZ format:
```
4
Lattice="2.927 0.000 0.000 0.000 3.672 0.000 0.000 0.000 7.987" Properties=species:S:1:pos:R:3 pbc="T T T"
K 1.464 1.836 6.153
Ru 0.000 0.000 0.681
Ru 1.464 1.836 1.773
Te 0.000 0.000 3.374
```

Computed properties:
uncorrected energy	-28.3776	eV per atom
calculated volume	21.46	Å³/atom
E_form (uncorrected)	0.43	eV per atom
SG	Pmm2, No. 25